Record 1
DFT (PBE) results for a relaxed BaAg2HPd crystal.

Results
V	22.3	A^3/atom
raw total energy	-0.11838	hartree per atom

Unit cell a=5.3497 b=5.3497 c=3.9031 alpha=90.00 beta=90.00 gamma=90.00
Space group P4/mmm (No. 123)
Asymmetric unit:
Ba 0.0000 0.0000 0.0000 x1
Ag 0.0000 0.5000 0.5000 x2
H 0.5000 0.5000 0.0000 x1
Pd 0.5000 0.5000 0.5000 x1



Record 2
DFT (PBE) results for a relaxed Ba5Ag2HPd crystal.

Results
V	38.1	A^3/atom
raw total energy	-0.10908	hartree per atom

Unit cell a=4.6293 b=20.3383 c=14.5624 alpha=90.00 beta=90.00 gamma=90.00
Space group Cmc2_1 (No. 36)
Asymmetric unit:
Ba 0.0000 0.0003 0.0000 x4
Ba 0.0000 0.1506 0.2558 x4
Ba 0.0000 0.1881 0.6100 x4
Ba 0.0000 0.2005 0.9114 x4
Ba 0.0000 0.4591 0.2356 x4
Ag 0.0000 0.3790 0.5728 x4
Ag 0.0000 0.3796 0.9377 x4
H 0.0000 0.0584 0.6560 x4
Pd 0.0000 0.3046 0.2615 x4



Record 3
DFT (PBE) results for a relaxed Ba2AgHPd6 crystal.

Results
V	19.7	A^3/atom
raw total energy	-0.16390	hartree per atom

Unit cell a=5.8681 b=5.8734 c=7.4211 alpha=90.10 beta=113.26 gamma=119.87
Space group P-1 (No. 2)
Asymmetric unit:
Ba 0.0596 0.2797 0.3397 x2
Ag 0.5000 0.0000 0.5000 x1
H 0.5000 0.5000 0.0000 x1
Pd 0.0486 0.2750 0.8374 x2
Pd 0.4352 0.2087 0.1614 x2
Pd 0.4377 0.7240 0.1633 x2



Record 4
DFT (PBE) results for a relaxed Ba2AgHPd crystal.

Results
V	28.6	A^3/atom
ΔE to the lowest computed polymorph	0.00	eV/f.u.

Unit cell a=7.1297 b=4.6013 c=9.1545 alpha=90.00 beta=107.46 gamma=90.00
Space group P2_1/m (No. 11)
Asymmetric unit:
Ba 0.2258 0.2500 0.4083 x2
Ba 0.2413 0.2500 0.9575 x2
Ag 0.3403 0.7500 0.7055 x2
H 0.1617 0.7500 0.1323 x2
Pd 0.4100 0.7500 0.2315 x2



Record 5
DFT (PBE) results for a relaxed Ba2AgHPd crystal.

Results
V	25.9	A^3/atom
ΔE to the lowest computed polymorph	0.07	eV/f.u.

Unit cell a=5.7964 b=5.7964 c=3.8567 alpha=90.00 beta=90.00 gamma=90.00
Space group P4/mmm (No. 123)
Asymmetric unit:
Ba 0.0000 0.5000 0.0000 x2
Ag 0.0000 0.0000 0.5000 x1
H 0.5000 0.5000 0.0000 x1
Pd 0.5000 0.5000 0.5000 x1



Record 6
DFT (PBE) results for a relaxed Ba2AgHPt crystal.

Results
V	25.5	A^3/atom
ΔE to the lowest computed polymorph	0.00	eV/f.u.

Unit cell a=5.7803 b=5.7803 c=3.8108 alpha=90.00 beta=90.00 gamma=90.00
Space group P4/mmm (No. 123)
Asymmetric unit:
Ba 0.0000 0.5000 0.0000 x2
Ag 0.0000 0.0000 0.5000 x1
H 0.5000 0.5000 0.0000 x1
Pt 0.5000 0.5000 0.5000 x1